Computed, not measured: a geometry-optimized GaIr3S structure at the PBE-GGA level of DFT.

Properties
Uncorrected energy = -5.04 eV per atom
ΔE_f (raw) = 1.710 eV/atom
Density of states at the Fermi level = 1.836 states/eV/atom
Energy above the most stable polymorph in this dataset = 907 meV/atom
V = 96.1 Å³ per cell

Lattice parameters (Å, degrees): 4.581 4.581 4.581 90.00 90.00 90.00
Site moments in Bohr magnetons follow the coordinates.
Fractional positions:
Ir 0.500 0.000 0.000  0.61
Ir 0.000 0.000 0.500  0.64
Ir 0.000 0.500 0.000  0.76
S 0.500 0.500 0.500  0.15
Ga 0.000 0.000 0.000  -0.03

Computed, not measured: a geometry-optimized InCoTeN2 structure at the PBE-GGA level of DFT.

Properties
Uncorrected energy = -4.84 eV per atom
ΔE_f (raw) = 1.087 eV/atom
Density of states at the Fermi level = 0.487 states/eV/atom
Energy above the most stable polymorph in this dataset = 0 meV/atom
V = 83.6 Å³ per cell

Lattice parameters (Å, degrees): 3.961 3.961 5.328 90.00 90.00 90.00
Site moments in Bohr magnetons follow the coordinates.
Fractional positions:
N 0.000 0.500 0.000  0.83
N 0.500 0.000 0.000  0.83
In 0.500 0.500 0.500  -0.02
Te 0.000 0.000 0.500  0.01
Co 0.000 0.000 0.000  1.23

Question: uncorrected energy of number 2 (InCoTeN2)?
Answer: -4.84 eV per atom

Question: Number 2 is which compound?
Answer: InCoTeN2

Question: Which value of uncorrected energy does entry 2 give?
Answer: -4.84 eV per atom